Density functional theory data (PBE) for a relaxed structure of RbLiTl2Cl8.

Cell and atoms, written as extended XYZ:
```
12
Lattice="3.290 1.899 10.113 -3.290 1.899 10.113 0.000 -3.799 10.113" Properties=species:S:1:pos:R:3 pbc="T T T"
Rb 0.000 0.000 0.000
Li 0.000 0.000 15.169
Tl 0.000 0.000 7.478
Tl 0.000 0.000 22.860
Cl -0.905 -1.854 13.399
Cl -1.154 -1.710 16.939
Cl 0.000 0.000 9.955
Cl -1.154 1.710 13.399
Cl -0.904 1.854 16.939
Cl 0.000 0.000 20.383
Cl 2.058 0.144 13.399
Cl 2.058 -0.144 16.939
```

Output
Crystal system = trigonal
ΔE_f (raw) = -1.051 eV per atom

Density functional theory data (PBE) for a relaxed structure of TbGa4CuPd2.

Cell and atoms, written as extended XYZ:
```
8
Lattice="2.141 1.236 8.599 -2.141 1.236 8.599 0.000 -2.472 8.599" Properties=species:S:1:pos:R:3 pbc="T T T"
Tb 0.000 0.000 0.000
Ga 0.000 0.000 3.382
Ga 0.000 0.000 10.267
Ga 0.000 0.000 15.531
Ga 0.000 0.000 22.416
Cu 0.000 0.000 12.899
Pd 0.000 0.000 6.167
Pd 0.000 0.000 19.631
```

Output
Crystal system = trigonal
Calculated formation energy = -0.5268 eV/atom

Density functional theory data (PBE) for a relaxed structure of TmMgSnBi.

Cell and atoms, written as extended XYZ:
```
16
Lattice="7.537 0.000 0.000 0.000 7.537 0.000 0.000 0.000 7.537" Properties=species:S:1:pos:R:3 pbc="T T T"
Tm 0.000 0.000 0.000
Tm 0.000 3.768 3.768
Tm 3.768 0.000 3.768
Tm 3.768 3.768 0.000
Mg 0.000 0.000 3.768
Mg 0.000 3.768 0.000
Mg 3.768 0.000 0.000
Mg 3.768 3.768 3.768
Sn 1.884 1.884 5.652
Sn 1.884 5.652 1.884
Sn 5.652 1.884 1.884
Sn 5.652 5.652 5.652
Bi 1.884 1.884 1.884
Bi 1.884 5.652 5.652
Bi 5.652 1.884 5.652
Bi 5.652 5.652 1.884
```

Output
Crystal system = cubic
Calculated formation energy = -0.2518 eV/atom

Density functional theory data (PBE) for a relaxed structure of RbMnNi.

Cell and atoms, written as extended XYZ:
```
6
Lattice="4.015 0.000 0.000 1.912 3.537 0.000 1.789 -0.888 11.647" Properties=species:S:1:pos:R:3 pbc="T T T"
Rb 0.000 0.000 0.000
Rb 1.868 1.572 4.519
Mn 3.742 0.289 9.003
Mn 3.927 0.403 7.160
Ni 3.782 2.709 7.527
Ni 5.799 1.520 8.632
```

Output
Crystal system = triclinic
Calculated formation energy = 0.6551 eV/atom
Excess energy over the best structure of this formula in the dataset = 251 meV/atom

Density functional theory data (PBE) for a relaxed structure of RbCdGa2Sn.

Cell and atoms, written as extended XYZ:
```
10
Lattice="4.828 0.000 0.000 0.000 4.858 0.000 0.000 0.000 11.776" Properties=species:S:1:pos:R:3 pbc="T T T"
Rb 0.000 0.000 0.000
Rb 2.414 2.429 5.888
Cd 0.000 2.429 8.932
Cd 2.414 0.000 3.044
Ga 0.000 0.000 4.476
Ga 0.000 2.429 3.082
Ga 2.414 0.000 8.970
Ga 2.414 2.429 10.364
Sn 0.000 0.000 7.276
Sn 2.414 2.429 1.388
```

Output
Crystal system = orthorhombic
Calculated formation energy = -0.1092 eV/atom

Density functional theory data (PBE) for a relaxed structure of SmPu2Tc3.

Cell and atoms, written as extended XYZ:
```
6
Lattice="5.963 0.000 0.000 -2.981 5.164 0.000 0.000 0.000 4.048" Properties=species:S:1:pos:R:3 pbc="T T T"
Sm 0.000 0.000 0.000
Pu 0.000 3.443 0.000
Pu 2.981 1.721 0.000
Tc -1.491 2.582 2.024
Tc 2.981 0.000 2.024
Tc 1.491 2.582 2.024
```

Output
Crystal system = hexagonal
Calculated formation energy = 0.0557 eV/atom

Density functional theory data (PBE) for a relaxed structure of Li2MoRu.

Cell and atoms, written as extended XYZ:
```
8
Lattice="2.903 0.000 0.000 0.000 4.245 0.000 0.000 0.000 9.475" Properties=species:S:1:pos:R:3 pbc="T T T"
Li 0.000 0.000 2.230
Li 0.000 0.000 7.245
Li 1.451 2.123 2.230
Li 1.451 2.123 7.245
Mo 0.000 2.123 4.738
Mo 1.451 0.000 4.738
Ru 0.000 2.123 0.000
Ru 1.451 0.000 0.000
```

Output
Crystal system = orthorhombic
Calculated formation energy = 0.3097 eV/atom
Excess energy over the best structure of this formula in the dataset = 107 meV/atom

Density functional theory data (PBE) for a relaxed structure of SrPbSeBr2.

Cell and atoms, written as extended XYZ:
```
5
Lattice="5.683 0.000 0.000 0.000 5.683 0.000 0.000 0.000 5.863" Properties=species:S:1:pos:R:3 pbc="T T T"
Sr 0.000 0.000 0.000
Pb 2.842 2.842 2.932
Se 2.842 2.842 0.000
Br 0.000 2.842 2.932
Br 2.842 0.000 2.932
```

Output
Crystal system = tetragonal
Excess energy over the best structure of this formula in the dataset = 414 meV/atom
ΔE_f (raw) = -0.918 eV per atom